No. 1
# CdInSeBr2, relaxed, DFT PBE
data_CdInSeBr2
_chemical_formula_sum 'Cd1 In1 Se1 Br2'
_cell_length_a 5.582
_cell_length_b 5.582
_cell_length_c 5.336
_cell_angle_alpha 90.00
_cell_angle_beta 90.00
_cell_angle_gamma 90.00
_space_group_name_H-M_alt 'P 4/m m m'
_space_group_IT_number 123
_space_group_name_Hall '-P 4 2'
loop_
_atom_site_label
_atom_site_fract_x
_atom_site_fract_y
_atom_site_fract_z
Cd1 0.000 0.000 0.000
In1 0.500 0.500 0.500
Se1 0.000 0.000 0.500
Br1 0.000 0.500 0.000
# Formation energy without anion corrections ... -299 meV/atom
# Offset from the most stable computed form ... 0 meV per atom



No. 2
# Ca2PuCd6, relaxed, DFT PBE
data_Ca2PuCd6
_chemical_formula_sum 'Ca2 Pu1 Cd6'
_cell_length_a 8.8060
_cell_length_b 8.8060
_cell_length_c 3.4120
_cell_angle_alpha 90.00
_cell_angle_beta 90.00
_cell_angle_gamma 120.00
_space_group_name_H-M_alt 'P 6/m m m'
_space_group_IT_number 191
_space_group_name_Hall '-P 6 2'
loop_
_atom_site_label
_atom_site_fract_x
_atom_site_fract_y
_atom_site_fract_z
Ca1 0.3333 0.6667 0.0000
Pu1 0.0000 0.0000 0.0000
Cd1 0.0000 0.3340 0.5000
# Energy of formation ... -2.1 eV/f.u.



No. 3
# Li2ZnAs, relaxed, DFT PBE
data_Li2ZnAs
_chemical_formula_sum 'Li2 Zn1 As1'
_cell_length_a 2.882
_cell_length_b 3.942
_cell_length_c 5.527
_cell_angle_alpha 90.00
_cell_angle_beta 91.51
_cell_angle_gamma 90.00
_space_group_name_H-M_alt 'P 1 2/m 1'
_space_group_IT_number 10
_space_group_name_Hall '-P 2y'
loop_
_atom_site_label
_atom_site_fract_x
_atom_site_fract_y
_atom_site_fract_z
Li1 0.005 0.000 0.267
Zn1 0.500 0.500 0.000
As1 0.500 0.500 0.500
# Energy of formation ... -1.3 eV/f.u.
# Offset from the most stable computed form ... 64 meV per atom



No. 4
# KSrPCl2, relaxed, DFT PBE
data_KSrPCl2
_chemical_formula_sum 'K1 Sr1 P1 Cl2'
_cell_length_a 5.512
_cell_length_b 5.512
_cell_length_c 5.834
_cell_angle_alpha 90.00
_cell_angle_beta 90.00
_cell_angle_gamma 90.00
_space_group_name_H-M_alt 'P 4/m m m'
_space_group_IT_number 123
_space_group_name_Hall '-P 4 2'
loop_
_atom_site_label
_atom_site_fract_x
_atom_site_fract_y
_atom_site_fract_z
K1 0.000 0.000 0.000
Sr1 0.500 0.500 0.500
P1 0.000 0.000 0.500
Cl1 0.000 0.500 0.000
# Formation energy without anion corrections ... -661 meV/atom
# Offset from the most stable computed form ... 492 meV per atom



No. 5
# SrIr, relaxed, DFT PBE
data_SrIr
_chemical_formula_sum 'Sr1 Ir1'
_cell_length_a 3.3834
_cell_length_b 3.3834
_cell_length_c 4.6555
_cell_angle_alpha 90.00
_cell_angle_beta 90.00
_cell_angle_gamma 120.00
_space_group_name_H-M_alt 'P -6 m 2'
_space_group_IT_number 187
_space_group_name_Hall 'P -6 2'
loop_
_atom_site_label
_atom_site_fract_x
_atom_site_fract_y
_atom_site_fract_z
Sr1 0.0000 0.0000 0.0000
Ir1 0.3333 0.6667 0.5000
# Energy of formation ... 1.0 eV/f.u.



No. 6
# Li2LaMg, relaxed, DFT PBE
data_Li2LaMg
_chemical_formula_sum 'Li2 La1 Mg1'
_cell_length_a 3.553
_cell_length_b 3.553
_cell_length_c 7.998
_cell_angle_alpha 90.00
_cell_angle_beta 90.00
_cell_angle_gamma 90.00
_space_group_name_H-M_alt 'P 4 m m'
_space_group_IT_number 99
_space_group_name_Hall 'P 4 -2'
loop_
_atom_site_label
_atom_site_fract_x
_atom_site_fract_y
_atom_site_fract_z
Li1 0.000 0.000 0.000
Li2 0.500 0.500 0.190
La1 0.500 0.500 0.696
Mg1 0.000 0.000 0.398
# Energy of formation ... 0.0 eV/f.u.



No. 7
# Ho5Tm4Sc2, relaxed, DFT PBE
data_Ho5Tm4Sc2
_chemical_formula_sum 'Ho10 Tm8 Sc4'
_cell_length_a 22.677
_cell_length_b 3.479
_cell_length_c 8.494
_cell_angle_alpha 90.00
_cell_angle_beta 105.28
_cell_angle_gamma 90.00
_space_group_name_H-M_alt 'C 1 2/m 1'
_space_group_IT_number 12
_space_group_name_Hall '-C 2y'
loop_
_atom_site_label
_atom_site_fract_x
_atom_site_fract_y
_atom_site_fract_z
Ho1 0.000 0.000 0.000
Ho2 0.135 0.500 0.086
Ho3 0.225 0.500 0.816
Tm1 0.044 0.500 0.366
Tm2 0.181 0.000 0.453
Sc1 0.090 0.000 0.724
# Energy of formation ... 0.4 eV/f.u.
# Offset from the most stable computed form ... 0 meV per atom



No. 8
# La4Pr5Nd, relaxed, DFT PBE
data_La4Pr5Nd
_chemical_formula_sum 'La8 Pr10 Nd2'
_cell_length_a 17.833
_cell_length_b 3.665
_cell_length_c 11.521
_cell_angle_alpha 90.00
_cell_angle_beta 90.18
_cell_angle_gamma 90.00
_space_group_name_H-M_alt 'C 1 2/m 1'
_space_group_IT_number 12
_space_group_name_Hall '-C 2y'
loop_
_atom_site_label
_atom_site_fract_x
_atom_site_fract_y
_atom_site_fract_z
La1 0.029 0.000 0.249
La2 0.155 0.500 0.749
Pr1 0.000 0.500 0.500
Pr2 0.173 0.000 0.055
Pr3 0.174 0.000 0.443
Nd1 0.000 0.500 0.000
# Energy of formation ... 1.6 eV/f.u.
# Offset from the most stable computed form ... 25 meV per atom



no.,DOS at the Fermi energy (states/eV/f.u.)
1,4.54
2,12.80
3,1.44
4,3.56
5,0.55
6,4.21
7,16.30
8,16.16